Compound: Rb2Dy2CrO6
Source: Alexandria
Functional: GGA+U
Structure: optimized geometry

Values from the calculation:
Crystal system: monoclinic
VASP energy in eV/atom: -6.780
Total moment in μB/atom: 0.1762
Calculated density in Mg/m³: 5.67

abc: 5.7056 5.7056 6.8730
angles: 97.68 97.68 119.05
Last column: nearest neighbours and their distance in Å.
Element x y z (fractional)
1 Rb 0.8352 0.1648 0.0000  6 O 2.86-3.13
2 Rb 0.1648 0.8352 0.0000  6 O 2.86-3.13
3 Dy 0.3359 0.6641 0.5000  6 O 2.26-2.31
4 Dy 0.6641 0.3359 0.5000  6 O 2.26-2.31
5 Cr 0.0000 0.0000 0.5000  6 O 1.99-2.06
6 O 0.7500 0.7500 0.6659  1 Cr 2.06, 2 Dy 2.26
7 O 0.0475 0.3441 0.6591  1 Cr 1.99
8 O 0.2500 0.2500 0.3341  1 Cr 2.06, 2 Dy 2.26
9 O 0.3441 0.0475 0.6591  1 Cr 1.99
10 O 0.9525 0.6559 0.3409  1 Cr 1.99
11 O 0.6559 0.9525 0.3409  1 Cr 1.99